# 1
Density functional theory data (PBE-GGA) for a relaxed NpIrW crystal.

Results
**Energy relative to the lowest polymorph listed for this composition**: 0.0 meV/atom
**E_form**: 0.582 eV/atom
**Magnetic moment**: 3.132 μB/f.u.

Cell: 4.393 4.393 4.393 Å, 60.00 60.00 60.00°
Positions (direct):
Np1 0.000 0.000 0.000
Ir1 0.500 0.500 0.500
W1 0.250 0.250 0.250



# 2
Density functional theory data (PBE-GGA) for a relaxed LuFe2As crystal.

Results
**VASP energy**: -6.50 eV per atom
**Magnetic moment**: 4.834 μB/f.u.

Cell: 4.472 4.472 4.472 Å, 60.00 60.00 60.00°
Positions (direct):
Lu1 0.000 0.000 0.000
Fe1 0.250 0.250 0.250
Fe2 0.500 0.500 0.500
As1 0.750 0.750 0.750



# 3
Density functional theory data (PBE-GGA) for a relaxed Dy5Er2Te2Ir2 crystal.

Results
**Energy relative to the lowest polymorph listed for this composition**: 9.4 meV/atom
**Magnetic moment**: 0.005 μB/f.u.

Cell: 9.376 9.376 9.376 Å, 155.81 66.23 119.39°
Positions (direct):
Dy1 0.000 0.000 0.000
Dy2 0.057 0.372 0.685
Dy3 0.451 0.582 0.868
Dy4 0.687 0.372 0.315
Dy5 0.714 0.582 0.132
Er1 0.085 0.731 0.354
Er2 0.378 0.731 0.646
Te1 0.337 0.337 0.000
Te2 0.736 0.236 0.500
Ir1 0.309 0.072 0.238
Ir2 0.834 0.072 0.762



# 4
Density functional theory data (PBE-GGA) for a relaxed TbDyB4 crystal.

Results
**VASP energy**: -6.54 eV per atom
**Magnetic moment**: 0.002 μB/f.u.

Cell: 3.299 3.299 7.752 Å, 90.00 90.00 120.00°
Positions (direct):
Tb1 0.000 0.000 0.000
Dy1 0.000 0.000 0.500
B1 0.333 0.667 0.252
B2 0.333 0.667 0.748
B3 0.667 0.333 0.252
B4 0.667 0.333 0.748



# 5
Density functional theory data (PBE-GGA) for a relaxed KFeCuOs crystal.

Results
**Energy relative to the lowest polymorph listed for this composition**: 0.0 meV/atom
**Magnetic moment**: 4.007 μB/f.u.

Cell: 4.547 4.547 4.547 Å, 60.00 60.00 60.00°
Positions (direct):
K1 0.000 0.000 0.000
Fe1 0.250 0.250 0.250
Cu1 0.750 0.750 0.750
Os1 0.500 0.500 0.500



# 6
Density functional theory data (PBE-GGA) for a relaxed TbTlZnSe3 crystal.

Results
**Energy relative to the lowest polymorph listed for this composition**: 148.7 meV/atom
**Magnetic moment**: 0.002 μB/f.u.

Cell: 8.925 8.925 9.185 Å, 103.95 103.95 27.33°
Positions (direct):
Tb1 0.172 0.172 0.092
Tb2 0.828 0.828 0.908
Tl1 0.139 0.139 0.568
Tl2 0.861 0.861 0.432
Zn1 0.493 0.493 0.784
Zn2 0.507 0.507 0.216
Se1 0.000 0.000 0.000
Se2 0.342 0.342 0.133
Se3 0.342 0.342 0.707
Se4 0.500 0.500 0.500
Se5 0.658 0.658 0.293
Se6 0.658 0.658 0.867



# 7
Density functional theory data (PBE-GGA) for a relaxed B4Os crystal.

Results
**Energy relative to the lowest polymorph listed for this composition**: 11.9 meV/atom
**Magnetic moment**: 0.000 μB/f.u.

Cell: 3.838 3.838 5.410 Å, 90.00 90.00 90.00°
Positions (direct):
B1 0.010 0.750 0.130
B2 0.250 0.510 0.370
B3 0.250 0.990 0.370
B4 0.490 0.750 0.130
B5 0.510 0.250 0.870
B6 0.750 0.010 0.630
B7 0.750 0.490 0.630
B8 0.990 0.250 0.870
Os1 0.250 0.750 0.750
Os2 0.750 0.250 0.250



# 8
Density functional theory data (PBE-GGA) for a relaxed BeTePdO crystal.

Results
**Energy relative to the lowest polymorph listed for this composition**: 840.1 meV/atom

Cell: 6.319 8.102 5.212 Å, 90.00 90.00 90.00°
Positions (direct):
Be1 0.086 0.196 0.000
Be2 0.414 0.196 0.500
Be3 0.586 0.804 0.000
Be4 0.914 0.804 0.500
Te1 0.058 0.329 0.475
Te2 0.442 0.329 0.975
Te3 0.558 0.671 0.475
Te4 0.942 0.671 0.975
Pd1 0.133 0.027 0.336
Pd2 0.367 0.027 0.836
Pd3 0.633 0.973 0.336
Pd4 0.867 0.973 0.836
O1 0.084 0.750 0.312
O2 0.416 0.750 0.812
O3 0.584 0.250 0.312
O4 0.916 0.250 0.812



# 9
Density functional theory data (PBE-GGA) for a relaxed UReAu crystal.

Results
**Energy relative to the lowest polymorph listed for this composition**: 0.0 meV/atom
**E_form**: 0.663 eV/atom
**Magnetic moment**: 0.174 μB/f.u.

Cell: 4.546 4.546 4.546 Å, 60.00 60.00 60.00°
Positions (direct):
U1 0.000 0.000 0.000
Re1 0.250 0.250 0.250
Au1 0.500 0.500 0.500



# 10
Density functional theory data (PBE-GGA) for a relaxed BaCo2Sn8 crystal.

Results
**VASP energy**: -4.61 eV per atom
**Magnetic moment**: 0.005 μB/f.u.

Cell: 9.205 9.205 14.071 Å, 90.00 90.00 111.48°
Positions (direct):
Ba1 0.102 0.793 0.000
Ba2 0.207 0.898 0.500
Ba3 0.793 0.102 0.500
Ba4 0.898 0.207 0.000
Co1 0.279 0.572 0.330
Co2 0.279 0.572 0.670
Co3 0.428 0.721 0.170
Co4 0.428 0.721 0.830
Co5 0.572 0.279 0.170
Co6 0.572 0.279 0.830
Co7 0.721 0.428 0.330
Co8 0.721 0.428 0.670
Sn1 0.000 0.000 0.250
Sn2 0.000 0.000 0.750
Sn3 0.000 0.500 0.394
Sn4 0.000 0.500 0.606
Sn5 0.159 0.464 0.165
Sn6 0.159 0.464 0.835
Sn7 0.195 0.278 0.386
Sn8 0.195 0.278 0.614
Sn9 0.206 0.794 0.250
Sn10 0.206 0.794 0.750
Sn11 0.278 0.195 0.114
Sn12 0.278 0.195 0.886
Sn13 0.394 0.588 0.500
Sn14 0.412 0.606 0.000
Sn15 0.464 0.159 0.335
Sn16 0.464 0.159 0.665
Sn17 0.500 0.000 0.106
Sn18 0.500 0.000 0.894
Sn19 0.500 0.500 0.250
Sn20 0.500 0.500 0.750
Sn21 0.536 0.841 0.335
Sn22 0.536 0.841 0.665
Sn23 0.588 0.394 0.000
Sn24 0.606 0.412 0.500
Sn25 0.722 0.805 0.114
Sn26 0.722 0.805 0.886
Sn27 0.794 0.206 0.250
Sn28 0.794 0.206 0.750
Sn29 0.805 0.722 0.386
Sn30 0.805 0.722 0.614
Sn31 0.841 0.536 0.165
Sn32 0.841 0.536 0.835



# 11
Density functional theory data (PBE-GGA) for a relaxed MoSe crystal.

Results
**Energy relative to the lowest polymorph listed for this composition**: 424.2 meV/atom
**Magnetic moment**: 2.490 μB/f.u.

Cell: 3.778 3.778 3.778 Å, 60.00 60.00 60.00°
Positions (direct):
Mo1 0.000 0.000 0.000
Se1 0.500 0.500 0.500



# 12
Density functional theory data (PBE-GGA) for a relaxed TlCu crystal.

Results
**VASP energy**: -2.67 eV per atom

Cell: 3.906 3.906 3.906 Å, 60.00 60.00 60.00°
Positions (direct):
Tl1 0.000 0.000 0.000
Cu1 0.500 0.500 0.500